*1*
Here is a relaxed Cu2AgRu crystal from Alexandria. Energies are from PBE-GGA.

a b c (Å): 2.6450 2.6450 9.0987
angles (deg): 90.00 90.00 116.44
With the nearest neighbours (Å) after each atom.
Positions (direct):
Ag  0.5000  0.5000  0.7599  6 Ag 2.64-2.79, 2 Cu 2.71, 2 Ru 2.88
Cu  0.5000  0.5000  0.2421  8 Cu 2.49-2.79, 2 Ru 2.59
Cu  0.0000  0.0000  0.0154  8 Cu 2.49-2.79, 2 Ag 2.71
Ru  0.0000  0.0000  0.4826  2 Cu 2.59, 6 Ru 2.64-2.79, 2 Ag 2.88

Output
Space group ... Cmm2, No. 35
Crystal system ... orthorhombic

*2*
Here is a relaxed Cu2AgRu crystal from Alexandria. Energies are from PBE-GGA.

a b c (Å): 4.3030 4.3030 4.3030
angles (deg): 60.00 60.00 60.00
With the nearest neighbours (Å) after each atom.
Positions (direct):
Ru  0.0000  0.0000  0.0000  8 Cu 2.64
Cu  0.2500  0.2500  0.2500  4 Ru 2.64, 4 Ag 2.64
Cu  0.7500  0.7500  0.7500  4 Ru 2.64, 4 Ag 2.64
Ag  0.5000  0.5000  0.5000  8 Cu 2.64

Output
Space group ... Fm-3m, No. 225
Crystal system ... cubic

*3*
Here is a relaxed Cu2AgRu crystal from Alexandria. Energies are from PBE-GGA.

a b c (Å): 5.3243 5.3243 5.3243
angles (deg): 151.25 126.85 61.55
With the nearest neighbours (Å) after each atom.
Positions (direct):
Ag  0.7500  0.2500  0.5000  2 Ag 2.64, 4 Cu 2.69, 4 Ru 2.72
Ru  0.2500  0.7500  0.5000  4 Cu 2.60, 2 Ru 2.64, 4 Ag 2.72
Cu  0.0057  0.0057  0.0000  2 Ru 2.60, 6 Cu 2.64-2.73, 2 Ag 2.69
Cu  0.4943  0.4943  0.0000  2 Ru 2.60, 6 Cu 2.64-2.73, 2 Ag 2.69

Output
Space group ... Immm, No. 71
Crystal system ... orthorhombic

Tell me which of them is the most stable. Sure, it is *1*.